! PBE+U CsCrFeF6, optimized geometry; values from VASP
&SYSTEM
  ibrav = 0, nat = 9, ntyp = 4
/
ATOMIC_SPECIES
Fe 55.84 Fe.upf
F 19.00 F.upf
Cs 132.91 Cs.upf
Cr 52.00 Cr.upf
CELL_PARAMETERS angstrom
-3.036 0.631 4.554
-3.931 -3.650 1.251
4.309 -3.484 3.362
ATOMIC_POSITIONS crystal
Fe 0.665 0.665 0.500
F 0.608 0.371 0.668
F 0.371 0.608 0.332
F 0.614 0.017 0.335
F 0.026 0.366 0.329
F 0.366 0.026 0.671
F 0.017 0.614 0.665
Cs 0.999 0.999 0.000
Cr 0.333 0.333 0.500
! E above lowest polymorph   21 meV per atom